# 1
Material: MgRe2SnRu
Method: DFT, GGA-PBEsol
State: relaxed

```
data_MgRe2SnRu
_cell_length_a 4.4815
_cell_length_b 4.4815
_cell_length_c 4.6526
_cell_angle_alpha 90.00
_cell_angle_beta 90.00
_cell_angle_gamma 90.00
_space_group_name_H-M_alt 'P 4/m m m'
_space_group_IT_number 123
_space_group_name_Hall '-P 4 2'
loop_
_atom_site_label
_atom_site_fract_x
_atom_site_fract_y
_atom_site_fract_z
Mg1 0.0000 0.0000 0.0000
Re1 0.0000 0.5000 0.0000
Sn1 0.0000 0.0000 0.5000
Ru1 0.5000 0.5000 0.5000
```

Properties
As for the crystal system: tetragonal. Its formation energy is 2575 meV per atom.

---

# 2
Material: LaCo12B6
Method: DFT, GGA-PBEsol
State: relaxed

```
data_LaCo12B6
_cell_length_a 9.3340
_cell_length_b 9.3340
_cell_length_c 7.3473
_cell_angle_alpha 90.00
_cell_angle_beta 90.00
_cell_angle_gamma 120.00
_space_group_name_H-M_alt 'R -3 m'
_space_group_IT_number 166
_space_group_name_Hall '-R 3 2"'
loop_
_atom_site_label
_atom_site_fract_x
_atom_site_fract_y
_atom_site_fract_z
La1 0.0000 0.0000 0.0000
Co1 0.0000 0.3663 0.5000
Co2 0.0907 0.1814 0.3683
B1 0.0401 0.5201 0.2887
```

Properties
As for the crystal system: trigonal. Its formation energy is -407 meV per atom.

---

# 3
Material: CaCoMo4
Method: DFT, GGA-PBEsol
State: relaxed

```
data_CaCoMo4
_cell_length_a 7.4094
_cell_length_b 7.4094
_cell_length_c 7.4094
_cell_angle_alpha 90.00
_cell_angle_beta 90.00
_cell_angle_gamma 90.00
_space_group_name_H-M_alt 'F -4 3 m'
_space_group_IT_number 216
_space_group_name_Hall 'F -4 2 3'
loop_
_atom_site_label
_atom_site_fract_x
_atom_site_fract_y
_atom_site_fract_z
Ca1 0.0000 0.0000 0.0000
Co1 0.2500 0.2500 0.7500
Mo1 0.1254 0.1254 0.3746
```

Properties
As for the crystal system: cubic. Its formation energy is 689 meV per atom.

---

# 4
Material: ZrScPt2
Method: DFT, GGA-PBEsol
State: relaxed

```
data_ZrScPt2
_cell_length_a 4.6313
_cell_length_b 4.6313
_cell_length_c 3.3130
_cell_angle_alpha 90.00
_cell_angle_beta 90.00
_cell_angle_gamma 90.00
_space_group_name_H-M_alt 'P 4/m m m'
_space_group_IT_number 123
_space_group_name_Hall '-P 4 2'
loop_
_atom_site_label
_atom_site_fract_x
_atom_site_fract_y
_atom_site_fract_z
Zr1 0.0000 0.0000 0.0000
Sc1 0.5000 0.5000 0.0000
Pt1 0.0000 0.5000 0.5000
```

Properties
As for the crystal system: tetragonal. Its formation energy is -1051 meV per atom.

---

# 5
Material: MnRe2Sb
Method: DFT, GGA-PBEsol
State: relaxed

```
data_MnRe2Sb
_cell_length_a 6.1856
_cell_length_b 6.1856
_cell_length_c 6.1856
_cell_angle_alpha 90.00
_cell_angle_beta 90.00
_cell_angle_gamma 90.00
_space_group_name_H-M_alt 'F -4 3 m'
_space_group_IT_number 216
_space_group_name_Hall 'F -4 2 3'
loop_
_atom_site_label
_atom_site_fract_x
_atom_site_fract_y
_atom_site_fract_z
Mn1 0.0000 0.0000 0.0000
Re1 0.0000 0.0000 0.5000
Re2 0.2500 0.2500 0.2500
Sb1 0.2500 0.2500 0.7500
```

Properties
The uncorrected formation energy is 0.56 eV per atom. As for the crystal system: cubic.

---

# 6
Material: Pr3PtBr3
Method: DFT, GGA-PBEsol
State: relaxed

```
data_Pr3PtBr3
_cell_length_a 11.9804
_cell_length_b 11.9804
_cell_length_c 11.9804
_cell_angle_alpha 90.00
_cell_angle_beta 90.00
_cell_angle_gamma 90.00
_space_group_name_H-M_alt 'I 41 3 2'
_space_group_IT_number 214
_space_group_name_Hall 'I 4bd 2c 3'
loop_
_atom_site_label
_atom_site_fract_x
_atom_site_fract_y
_atom_site_fract_z
Pr1 0.1130 0.3630 0.1250
Pt1 0.1250 0.1250 0.1250
Br1 0.1182 0.1318 0.6250
```

Properties
The uncorrected formation energy is -1.46 eV per atom. As for the crystal system: cubic.

---

# 7
Material: MgIn2P
Method: DFT, GGA-PBEsol
State: relaxed

```
data_MgIn2P
_cell_length_a 8.9760
_cell_length_b 3.7096
_cell_length_c 5.7777
_cell_angle_alpha 90.00
_cell_angle_beta 111.34
_cell_angle_gamma 90.00
_space_group_name_H-M_alt 'C 1 m 1'
_space_group_IT_number 8
loop_
_space_group_symop_operation_xyz
'x,y,z'
'x,-y,z'
'x+1/2,y+1/2,z'
'x+1/2,-y+1/2,z'
loop_
_atom_site_label
_atom_site_fract_x
_atom_site_fract_y
_atom_site_fract_z
Mg1 0.0000 0.0000 0.0000
In1 0.1625 0.0000 0.6039
In2 0.3822 0.0000 0.3549
P1 0.2030 0.5000 0.9691
```

Properties
For the energy relative to the lowest polymorph listed for this composition, the calculation gives 0.0000 eV per atom. As for the crystal system: monoclinic. Its formation energy is -128 meV per atom.

---

# 8
Material: YSICl2
Method: DFT, GGA-PBEsol
State: relaxed

```
data_YSICl2
_cell_length_a 5.3381
_cell_length_b 5.3381
_cell_length_c 5.3194
_cell_angle_alpha 90.00
_cell_angle_beta 90.00
_cell_angle_gamma 90.00
_space_group_name_H-M_alt 'P 4/m m m'
_space_group_IT_number 123
_space_group_name_Hall '-P 4 2'
loop_
_atom_site_label
_atom_site_fract_x
_atom_site_fract_y
_atom_site_fract_z
Y1 0.0000 0.0000 0.0000
S1 0.5000 0.5000 0.0000
I1 0.5000 0.5000 0.5000
Cl1 0.0000 0.5000 0.5000
```

Properties
The uncorrected formation energy is 0.14 eV per atom. As for the crystal system: tetragonal.

---

# 9
Material: Li3InGa
Method: DFT, GGA-PBEsol
State: relaxed

```
data_Li3InGa
_cell_length_a 4.7563
_cell_length_b 4.7563
_cell_length_c 4.7563
_cell_angle_alpha 90.00
_cell_angle_beta 90.00
_cell_angle_gamma 90.00
_space_group_name_H-M_alt 'P m -3 m'
_space_group_IT_number 221
_space_group_name_Hall '-P 4 2 3'
loop_
_atom_site_label
_atom_site_fract_x
_atom_site_fract_y
_atom_site_fract_z
Li1 0.0000 0.0000 0.5000
In1 0.5000 0.5000 0.5000
Ga1 0.0000 0.0000 0.0000
```

Properties
As for the crystal system: cubic. Its formation energy is 118 meV per atom.

---

# 10
Material: CaScZn2
Method: DFT, GGA-PBEsol
State: relaxed

```
data_CaScZn2
_cell_length_a 4.2331
_cell_length_b 4.2331
_cell_length_c 9.0786
_cell_angle_alpha 90.00
_cell_angle_beta 90.00
_cell_angle_gamma 90.00
_space_group_name_H-M_alt 'I -4 m 2'
_space_group_IT_number 119
_space_group_name_Hall 'I -4 -2'
loop_
_atom_site_label
_atom_site_fract_x
_atom_site_fract_y
_atom_site_fract_z
Ca1 0.0000 0.0000 0.0000
Sc1 0.0000 0.5000 0.2500
Zn1 0.0000 0.0000 0.5000
Zn2 0.0000 0.5000 0.7500
```

Properties
As for the crystal system: tetragonal. Its formation energy is 0 meV per atom.

---

# 11
Material: Fe3CuP4O16
Method: DFT, GGA-PBEsol
State: relaxed

```
data_Fe3CuP4O16
_cell_length_a 4.7988
_cell_length_b 5.8242
_cell_length_c 9.7666
_cell_angle_alpha 90.00
_cell_angle_beta 90.08
_cell_angle_gamma 90.00
_space_group_name_H-M_alt 'P 1 m 1'
_space_group_IT_number 6
loop_
_space_group_symop_operation_xyz
'x,y,z'
'x,-y,z'
loop_
_atom_site_label
_atom_site_fract_x
_atom_site_fract_y
_atom_site_fract_z
Fe1 0.0000 0.0000 0.0000
Fe2 0.0940 0.5000 0.4472
Fe3 0.5955 0.0000 0.4976
Cu1 0.4828 0.5000 0.9422
P1 0.1443 0.0000 0.3165
P2 0.4459 0.0000 0.8228
P3 0.6454 0.5000 0.6300
P4 0.9718 0.5000 0.1244
O1 0.2069 0.0000 0.1621
O2 0.2875 0.5000 0.1094
O3 0.2893 0.2031 0.8940
O4 0.2938 0.2051 0.3901
O5 0.3319 0.5000 0.6009
O6 0.4029 0.0000 0.6676
O7 0.7061 0.5000 0.7823
O8 0.7605 0.0000 0.8500
O9 0.7937 0.2948 0.5540
O10 0.8255 0.2908 0.0524
O11 0.8314 0.0000 0.3408
O12 0.9026 0.5000 0.2785
```

Properties
The uncorrected formation energy is -1.69 eV per atom. As for the crystal system: monoclinic.

---

# 12
Material: ZnCo6Mo
Method: DFT, GGA-PBEsol
State: relaxed

```
data_ZnCo6Mo
_cell_length_a 7.0454
_cell_length_b 9.9936
_cell_length_c 9.9956
_cell_angle_alpha 90.00
_cell_angle_beta 90.00
_cell_angle_gamma 90.00
_space_group_name_H-M_alt 'C m m m'
_space_group_IT_number 65
_space_group_name_Hall '-C 2 2'
loop_
_atom_site_label
_atom_site_fract_x
_atom_site_fract_y
_atom_site_fract_z
Zn1 0.0000 0.0000 0.2493
Zn2 0.0000 0.2529 0.5000
Co1 0.0000 0.0000 0.0000
Co2 0.0000 0.0000 0.5000
Co3 0.0000 0.2504 0.2491
Co4 0.0000 0.5000 0.0000
Co5 0.0000 0.5000 0.5000
Co6 0.2477 0.1256 0.3755
Co7 0.2501 0.1249 0.1244
Mo1 0.0000 0.2552 0.0000
Mo2 0.0000 0.5000 0.2523
```

Properties
As for the crystal system: orthorhombic. Its formation energy is 16 meV per atom.

---

# 13
Material: HfBe2
Method: DFT, GGA-PBEsol
State: relaxed

```
data_HfBe2
_cell_length_a 3.7645
_cell_length_b 3.7645
_cell_length_c 3.1345
_cell_angle_alpha 90.00
_cell_angle_beta 90.00
_cell_angle_gamma 120.00
_space_group_name_H-M_alt 'P 6/m m m'
_space_group_IT_number 191
_space_group_name_Hall '-P 6 2'
loop_
_atom_site_label
_atom_site_fract_x
_atom_site_fract_y
_atom_site_fract_z
Hf1 0.0000 0.0000 0.0000
Be1 0.3333 0.6667 0.5000
```

Properties
As for the crystal system: hexagonal. Its formation energy is -160 meV per atom.

---

# 14
Material: Li2SbPb
Method: DFT, GGA-PBEsol
State: relaxed

```
data_Li2SbPb
_cell_length_a 4.4724
_cell_length_b 4.4724
_cell_length_c 19.1402
_cell_angle_alpha 90.00
_cell_angle_beta 90.00
_cell_angle_gamma 90.00
_space_group_name_H-M_alt 'I -4 2 d'
_space_group_IT_number 122
_space_group_name_Hall 'I -4 2bw'
loop_
_atom_site_label
_atom_site_fract_x
_atom_site_fract_y
_atom_site_fract_z
Li1 0.2365 0.2500 0.1250
Sb1 0.0000 0.0000 0.0000
Pb1 0.0000 0.0000 0.5000
```

Properties
The uncorrected formation energy is -0.22 eV per atom. For the energy relative to the lowest polymorph listed for this composition, the calculation gives 0.1725 eV per atom. As for the crystal system: tetragonal.

---

# 15
Material: Mg3V6Cd2Cu3PbO24
Method: DFT, GGA-PBEsol
State: relaxed

```
data_Mg3V6Cd2Cu3PbO24
_cell_length_a 6.9611
_cell_length_b 8.8107
_cell_length_c 8.8627
_cell_angle_alpha 92.07
_cell_angle_beta 106.11
_cell_angle_gamma 105.42
_space_group_name_H-M_alt 'P 1'
_space_group_IT_number 1
loop_
_space_group_symop_operation_xyz
'x,y,z'
loop_
_atom_site_label
_atom_site_fract_x
_atom_site_fract_y
_atom_site_fract_z
Mg1 0.0000 0.0000 0.0000
Mg2 0.2462 0.7498 0.1120
Mg3 0.5088 0.3291 0.6894
V1 0.2499 0.5048 0.4049
V2 0.3825 0.1057 0.3416
V3 0.5010 0.0338 0.9344
V4 0.7600 0.7264 0.1876
V5 0.8741 0.6568 0.7689
V6 0.9976 0.2631 0.7098
Cd1 0.3789 0.6486 0.7923
Cd2 0.8765 0.1308 0.3076
Cu1 0.3786 0.8988 0.5405
Cu2 0.7637 0.4473 0.4452
Cu3 0.8731 0.8735 0.5685
Pb1 0.3789 0.3806 0.0749
O1 0.0119 0.2019 0.8893
O2 0.0197 0.3788 0.4105
O3 0.0999 0.6303 0.8840
O4 0.1645 0.1414 0.2188
O5 0.2373 0.5455 0.2151
O6 0.2477 0.3805 0.7344
O7 0.3037 0.9743 0.0208
O8 0.3090 0.6773 0.5327
O9 0.3750 0.9067 0.3214
O10 0.3919 0.1195 0.5400
O11 0.4384 0.4130 0.4681
O12 0.4392 0.9081 0.7624
O13 0.5095 0.7010 0.0610
O14 0.5203 0.2205 0.8906
O15 0.5977 0.2285 0.3050
O16 0.6554 0.5535 0.8104
O17 0.7381 0.0248 0.0560
O18 0.7399 0.5432 0.2485
O19 0.8090 0.3669 0.6549
O20 0.8206 0.8678 0.3481
O21 0.8508 0.6523 0.5622
O22 0.8910 0.8582 0.7840
O23 0.9269 0.0959 0.5748
O24 0.9531 0.7812 0.0967
```

Properties
The uncorrected formation energy is -1.99 eV per atom. As for the crystal system: triclinic.

---

# 16
Material: La2TaMo
Method: DFT, GGA-PBEsol
State: relaxed

```
data_La2TaMo
_cell_length_a 7.1579
_cell_length_b 7.1579
_cell_length_c 7.1579
_cell_angle_alpha 90.00
_cell_angle_beta 90.00
_cell_angle_gamma 90.00
_space_group_name_H-M_alt 'F m -3 m'
_space_group_IT_number 225
_space_group_name_Hall '-F 4 2 3'
loop_
_atom_site_label
_atom_site_fract_x
_atom_site_fract_y
_atom_site_fract_z
La1 0.2500 0.2500 0.2500
Ta1 0.0000 0.0000 0.0000
Mo1 0.0000 0.0000 0.5000
```

Properties
As for the crystal system: cubic. Its formation energy is 849 meV per atom.

---

# 17
Material: Rb2CuSbCl6
Method: DFT, GGA-PBEsol
State: relaxed

```
data_Rb2CuSbCl6
_cell_length_a 10.1761
_cell_length_b 10.1761
_cell_length_c 10.1761
_cell_angle_alpha 90.00
_cell_angle_beta 90.00
_cell_angle_gamma 90.00
_space_group_name_H-M_alt 'F m -3 m'
_space_group_IT_number 225
_space_group_name_Hall '-F 4 2 3'
loop_
_atom_site_label
_atom_site_fract_x
_atom_site_fract_y
_atom_site_fract_z
Rb1 0.2500 0.2500 0.2500
Cu1 0.0000 0.0000 0.0000
Sb1 0.0000 0.0000 0.5000
Cl1 0.0000 0.0000 0.2400
```

Properties
The uncorrected formation energy is -1.23 eV per atom. As for the crystal system: cubic.

---

# 18
Material: Cs2LiVO4
Method: DFT, GGA-PBEsol
State: relaxed

```
data_Cs2LiVO4
_cell_length_a 5.9834
_cell_length_b 12.0992
_cell_length_c 8.1337
_cell_angle_alpha 90.00
_cell_angle_beta 90.00
_cell_angle_gamma 90.00
_space_group_name_H-M_alt 'C m c 21'
_space_group_IT_number 36
loop_
_space_group_symop_operation_xyz
'x,y,z'
'-x,-y,z+1/2'
'-x,y,z'
'x,-y,z+1/2'
'x+1/2,y+1/2,z'
'-x+1/2,-y+1/2,z+1/2'
'-x+1/2,y+1/2,z'
'x+1/2,-y+1/2,z+1/2'
loop_
_atom_site_label
_atom_site_fract_x
_atom_site_fract_y
_atom_site_fract_z
Cs1 0.0000 0.0692 0.0000
Cs2 0.0000 0.3932 0.1347
Li1 0.0000 0.2039 0.4151
V1 0.0000 0.3018 0.6957
O1 0.0000 0.1623 0.6531
O2 0.0000 0.3625 0.5048
O3 0.2359 0.3395 0.8020
```

Properties
The uncorrected formation energy is -2.27 eV per atom. As for the crystal system: orthorhombic.

---

# 19
Material: Cs3MgIn
Method: DFT, GGA-PBEsol
State: relaxed

```
data_Cs3MgIn
_cell_length_a 7.2388
_cell_length_b 7.2388
_cell_length_c 7.2388
_cell_angle_alpha 90.00
_cell_angle_beta 90.00
_cell_angle_gamma 90.00
_space_group_name_H-M_alt 'P m -3 m'
_space_group_IT_number 221
_space_group_name_Hall '-P 4 2 3'
loop_
_atom_site_label
_atom_site_fract_x
_atom_site_fract_y
_atom_site_fract_z
Cs1 0.0000 0.0000 0.5000
Mg1 0.0000 0.0000 0.0000
In1 0.5000 0.5000 0.5000
```

Properties
As for the crystal system: cubic. Its formation energy is 454 meV per atom.

---

# 20
Material: Cs4TlSbCl12
Method: DFT, GGA-PBEsol
State: relaxed

```
data_Cs4TlSbCl12
_cell_length_a 7.3170
_cell_length_b 7.3170
_cell_length_c 10.3965
_cell_angle_alpha 90.00
_cell_angle_beta 90.00
_cell_angle_gamma 90.00
_space_group_name_H-M_alt 'P 4/m m m'
_space_group_IT_number 123
_space_group_name_Hall '-P 4 2'
loop_
_atom_site_label
_atom_site_fract_x
_atom_site_fract_y
_atom_site_fract_z
Cs1 0.0000 0.5000 0.2256
Tl1 0.0000 0.0000 0.0000
Sb1 0.5000 0.5000 0.5000
Cl1 0.0000 0.0000 0.2504
Cl2 0.2511 0.2511 0.0000
Cl3 0.2684 0.2684 0.5000
Cl4 0.5000 0.5000 0.2693
```

Properties
The uncorrected formation energy is -1.34 eV per atom. As for the crystal system: tetragonal.

---

Results for density: 11.0, 8.2, 7.9, 12.3, 15.4, 6.6, 5.3, 3.5, 3.2, 4.4, 3.7, 9.7, 8.5, 5.9, 4.6, 10.0, 3.6, 4.4, 2.4, 3.8 (in g/cm³, following the order of the records).
Results for total magnetization: 3.30, 6.23, 1.28, 0.00, 0.00, 0.00, 0.00, 0.91, 0.00, 0.00, 6.73, 5.01, 0.00, 0.00, 0.96, 1.04, 0.00, 0.00, 0.00, 0.00 (in μB/f.u., following the order of the records).
Results for V: 18.69, 9.73, 16.95, 17.76, 14.79, 30.71, 22.40, 30.32, 21.52, 20.33, 11.37, 11.00, 12.82, 23.93, 12.82, 22.92, 26.34, 18.40, 75.86, 30.92 (in Å³ per atom, following the order of the records).